# 1
Entry from Alexandria: a geometry-optimized Li4La3Pd4 structure (GGA-PBE).

Cell lengths 4.144, 7.674, 8.480 Å; angles 116.90, 104.14, 90.00 degrees
Fractional positions:
Li1 0.676 0.865 0.353
Pd1 0.500 0.805 0.000
Li2 0.676 0.488 0.353
Li3 0.324 0.135 0.647
Li4 0.324 0.512 0.647
Pd2 0.778 0.278 0.556
La1 0.125 0.125 0.249
Pd3 0.222 0.722 0.444
La2 0.875 0.875 0.751
La3 0.000 0.500 0.000
Pd4 0.500 0.195 0.000

Properties
space-group type = Immm, No. 71
Fermi-level density of states = 0.567 states/eV per atom
final energy = -4.4791 eV/atom
DFT formation energy = -6.1 eV per formula unit

=====

# 2
Entry from Alexandria: a geometry-optimized TlInSnCl6 structure (GGA-PBE).

Cell lengths 7.146, 7.146, 6.857 Å; angles 90.00, 90.00, 60.00 degrees
Fractional positions:
Cl1 0.616 0.032 0.283
Cl2 0.351 0.616 0.283
Tl1 0.000 0.000 0.000
Cl3 0.616 0.351 0.717
Cl4 0.032 0.616 0.717
Sn1 0.667 0.667 0.500
Cl5 0.032 0.351 0.283
In1 0.333 0.333 0.500
Cl6 0.351 0.032 0.717

Properties
space-group type = P312, No. 149
Fermi-level density of states = 0.000 states/eV per atom
final energy = -3.3077 eV/atom

=====

# 3
Entry from Alexandria: a geometry-optimized In2Ga3Au8 structure (GGA-PBE).

Cell lengths 7.478, 7.478, 8.367 Å; angles 63.46, 63.46, 60.00 degrees
Fractional positions:
Ga1 0.193 0.193 0.422
Au1 0.160 0.775 0.291
Au2 0.695 0.695 0.916
Ga2 0.000 0.000 0.000
Ga3 0.807 0.807 0.578
In1 0.431 0.431 0.708
In2 0.569 0.569 0.292
Au3 0.775 0.775 0.291
Au4 0.775 0.160 0.291
Au5 0.225 0.840 0.709
Au6 0.225 0.225 0.709
Au7 0.840 0.225 0.709
Au8 0.305 0.305 0.084

Properties
space-group type = R-3m, No. 166
Fermi-level density of states = 0.403 states/eV per atom
final energy = -2.9201 eV/atom
DFT formation energy = 2.8 eV per formula unit

=====

# 4
Entry from Alexandria: a geometry-optimized CaMg14Al structure (GGA-PBE).

Cell lengths 6.492, 6.492, 10.382 Å; angles 90.00, 90.00, 121.09 degrees
Fractional positions:
Mg1 0.671 0.329 0.736
Mg2 0.829 0.171 0.000
Mg3 0.837 0.679 0.500
Mg4 0.672 0.835 0.247
Ca1 0.330 0.670 0.500
Mg5 0.165 0.328 0.247
Mg6 0.335 0.172 0.000
Mg7 0.165 0.328 0.753
Mg8 0.672 0.835 0.753
Mg9 0.671 0.329 0.264
Mg10 0.165 0.835 0.756
Mg11 0.331 0.669 0.000
Al1 0.842 0.158 0.500
Mg12 0.165 0.835 0.244
Mg13 0.321 0.163 0.500
Mg14 0.828 0.665 0.000

Properties
space-group type = Amm2, No. 38
Fermi-level density of states = 0.539 states/eV per atom
final energy = -1.7518 eV/atom
DFT formation energy = 0.0 eV per formula unit

=====

# 5
Entry from Alexandria: a geometry-optimized MnRePdSe structure (GGA-PBE).

Cell lengths 3.050, 4.316, 5.543 Å; angles 83.66, 73.96, 69.26 degrees
Site moments in Bohr magnetons follow the coordinates.
Fractional positions:
Se1 0.000 0.286 0.484  -0.01
Pd1 0.899 0.783 0.186  0.04
Mn1 0.734 0.351 0.951  3.00
Re1 0.548 0.933 0.741  -0.49

Properties
space-group type = Cm, No. 8
Fermi-level density of states = 0.507 states/eV per atom
final energy = -7.3274 eV/atom

=====

# 6
Entry from Alexandria: a geometry-optimized Ti5TlZn2 structure (GGA-PBE).

Cell lengths 7.020, 7.020, 7.559 Å; angles 117.67, 117.67, 90.00 degrees
Site moments in Bohr magnetons follow the coordinates.
Fractional positions:
Tl1 0.750 0.750 0.500  -0.01
Zn1 0.860 0.640 0.000  0.02
Ti1 0.997 0.497 0.690  0.48
Zn2 0.640 0.140 0.000  0.02
Ti2 0.000 0.000 0.000  0.90
Ti3 0.693 0.193 0.690  0.48
Zn3 0.360 0.860 0.000  0.02
Ti4 0.500 0.500 0.000  0.90
Tl2 0.250 0.250 0.500  -0.01
Ti5 0.193 0.997 0.690  0.48
Zn4 0.140 0.360 0.000  0.02
Ti6 0.307 0.807 0.310  0.48
Ti7 0.503 0.307 0.310  0.48
Ti8 0.003 0.503 0.310  0.48
Ti9 0.497 0.693 0.690  0.48
Ti10 0.807 0.003 0.310  0.48

Properties
space-group type = I4/mcm, No. 140
Fermi-level density of states = 0.895 states/eV per atom
final energy = -5.5340 eV/atom
DFT formation energy = 0.1 eV per formula unit